The following is a DFT calculation (PBE) of crystalline AlAg2Cl2 at its relaxed geometry.

a = 8.324 Å, b = 8.324 Å, c = 8.324 Å
α = 152.74°, β = 152.74°, γ = 38.94°
Fractional positions:
Al 0.000 0.000 0.000
Ag 0.250 0.750 0.500
Ag 0.750 0.250 0.500
Cl 0.392 0.392 0.000
Cl 0.608 0.608 0.000

## Properties
- M_tot (μB per formula unit) = 0.00
- energy relative to the elements, uncorrected (meV/atom) = 5
- total energy (eV per atom) = -2.62
- space group = I4/mmm, No. 139

The following is a DFT calculation (PBE) of crystalline La5Tl2AgRh2 at its relaxed geometry.

a = 12.223 Å, b = 12.223 Å, c = 3.848 Å
α = 90.00°, β = 90.00°, γ = 90.00°
Fractional positions:
La 0.000 0.500 0.000
La 0.073 0.206 0.000
La 0.206 0.927 0.000
La 0.294 0.427 0.000
La 0.427 0.706 0.000
La 0.500 0.000 0.000
La 0.573 0.294 0.000
La 0.706 0.573 0.000
La 0.794 0.073 0.000
La 0.927 0.794 0.000
Tl 0.177 0.677 0.500
Tl 0.323 0.177 0.500
Tl 0.677 0.823 0.500
Tl 0.823 0.323 0.500
Ag 0.000 0.000 0.500
Ag 0.500 0.500 0.500
Rh 0.133 0.367 0.500
Rh 0.367 0.867 0.500
Rh 0.633 0.133 0.500
Rh 0.867 0.633 0.500

## Properties
- M_tot (μB per formula unit) = 0.00
- formation enthalpy at 0 K (eV/f.u.) = -5.161
- total energy (eV per atom) = -5.21
- space group = P4/mbm, No. 127